No. 1
A relaxed structure of LiSm2Ir2. Source: the Alexandria database, functional PBE.

Calculated values
energy relative to the elements: -0.60 eV per atom
crystal system: orthorhombic
density of states at the Fermi level: 2.5 states/eV/cell
energy above the most stable polymorph in this dataset: 0.000 eV/f.u.

Unit cell a=5.531 b=5.531 c=5.531 alpha=134.46 beta=115.32 gamma=82.65
Fractional positions:
Li: 0.000 0.000 0.000
Sm: 0.293 0.793 0.500
Sm: 0.707 0.207 0.500
Ir: 0.273 0.500 0.773
Ir: 0.727 0.500 0.227

***

No. 2
A relaxed structure of La4In2P. Source: the Alexandria database, functional PBE.

Calculated values
energy relative to the elements: -0.71 eV per atom
crystal system: monoclinic
density of states at the Fermi level: 8.7 states/eV/cell
energy above the most stable polymorph in this dataset: 0.000 eV/f.u.

Unit cell a=6.859 b=6.859 c=9.483 alpha=120.17 beta=120.17 gamma=36.61
Fractional positions:
La: 0.089 0.089 0.350
La: 0.333 0.333 0.935
La: 0.667 0.667 0.065
La: 0.911 0.911 0.650
In: 0.374 0.374 0.342
In: 0.626 0.626 0.658
P: 0.000 0.000 0.000